Entry from OQMD via LeMat-Bulk: an optimized crystal structure of Cu2SiB (PBE).

Computed properties:
Density, g/cm3: 6.045
DFT total energy, Ry per atom: -0.3120

Structure (CIF):
```
data_Cu2SiB
_symmetry_space_group_name_H-M 'P m -3 m'
_symmetry_Int_Tables_number 221
_symmetry_space_group_name_Hall '-P 4 2 3'
_cell_length_a 5.671
_cell_length_b 5.671
_cell_length_c 5.671
_cell_angle_alpha 90.00
_cell_angle_beta 90.00
_cell_angle_gamma 90.00
loop_
_atom_site_label
_atom_site_fract_x
_atom_site_fract_y
_atom_site_fract_z
Cu1 0.224 0.224 0.224
Si1 0.000 0.500 0.500
Si2 0.500 0.500 0.500
B1 0.000 0.000 0.000
B2 0.000 0.000 0.500
```

***

Entry from OQMD via LeMat-Bulk: an optimized crystal structure of Cu2SiB (PBE).

Computed properties:
Density, g/cm3: 6.044
DFT total energy, Ry per atom: -0.3120

Structure (CIF):
```
data_Cu2SiB
_symmetry_space_group_name_H-M 'P m -3 m'
_symmetry_Int_Tables_number 221
_symmetry_space_group_name_Hall '-P 4 2 3'
_cell_length_a 5.671
_cell_length_b 5.671
_cell_length_c 5.671
_cell_angle_alpha 90.00
_cell_angle_beta 90.00
_cell_angle_gamma 90.00
loop_
_atom_site_label
_atom_site_fract_x
_atom_site_fract_y
_atom_site_fract_z
Cu1 0.224 0.224 0.224
Si1 0.000 0.500 0.500
Si2 0.500 0.500 0.500
B1 0.000 0.000 0.000
B2 0.000 0.000 0.500
```

***

density of number 1 (Cu2SiB)? 6.045 g/cm3

***

Look up the DFT total energy of the first one. -0.3120 Ry per atom